Compound: LiI2
Source: Alexandria
Functional: PBE
Structure: optimized geometry

```
LiI2
1.0
3.5500 -2.4599 0.0000
3.5500 2.4599 0.0000
-2.9291 0.0000 5.7973
Li I
1 2
direct
0.0000 0.0000 0.0000 Li
0.4885 0.4885 0.2466 I
0.5115 0.5115 0.7534 I
```

* total moment: 0.000 Bohr magnetons per cell
* calculated density: 4.28 Mg/m³
* energy: -7.20 eV for the cell shown
* crystal system: monoclinic


Compound: Li3I
Source: Alexandria
Functional: PBE
Structure: optimized geometry

```
Li3I
1.0
4.1201 0.0000 0.0000
0.0000 4.1201 0.0000
0.0000 0.0000 5.6996
Li I
3 1
direct
0.0000 0.0000 0.0000 Li
0.0000 0.5000 0.4356 Li
0.5000 0.0000 0.4356 Li
0.5000 0.5000 0.7919 I
```

* total moment: 0.000 Bohr magnetons per cell
* calculated density: 2.54 Mg/m³
* energy: -9.03 eV for the cell shown
* crystal system: tetragonal


Compound: Li6I
Source: Alexandria
Functional: PBE
Structure: optimized geometry

```
Li6I
1.0
-3.8656 3.8656 3.8656
3.8656 -3.8656 3.8656
3.8656 3.8656 -3.8656
Li I
6 1
direct
0.2500 0.5000 0.7500 Li
0.2500 0.7500 0.5000 Li
0.5000 0.2500 0.7500 Li
0.5000 0.7500 0.2500 Li
0.7500 0.2500 0.5000 Li
0.7500 0.5000 0.2500 Li
0.0000 0.0000 0.0000 I
```

* total moment: 0.000 Bohr magnetons per cell
* calculated density: 1.21 Mg/m³
* energy: -10.48 eV for the cell shown
* crystal system: cubic


Compound: Li4I
Source: Alexandria
Functional: PBE
Structure: optimized geometry

```
Li4I
1.0
5.3726 0.0000 0.0000
0.0000 5.3726 0.0000
0.0000 0.0000 5.3726
Li I
4 1
direct
0.0000 0.0000 0.0000 Li
0.0000 0.5000 0.5000 Li
0.5000 0.0000 0.5000 Li
0.5000 0.5000 0.0000 Li
0.5000 0.5000 0.5000 I
```

* total moment: 0.000 Bohr magnetons per cell
* calculated density: 1.66 Mg/m³
* energy: -9.85 eV for the cell shown
* crystal system: cubic


Compound: LiLuI2
Source: Alexandria
Functional: PBE
Structure: optimized geometry

```
LiLuI2
1.0
2.0397 1.1776 9.3169
-2.0397 1.1776 9.3169
0.0000 -2.3553 9.3169
Li Lu I
1 1 2
direct
0.0000 0.0000 0.0000 Li
0.5000 0.5000 0.5000 Lu
0.3942 0.3942 0.3942 I
0.6058 0.6058 0.6058 I
```

* total moment: 0.000 Bohr magnetons per cell
* calculated density: 5.39 Mg/m³
* energy: -12.50 eV for the cell shown
* crystal system: trigonal


Compound: Li2MgI4
Source: Alexandria
Functional: PBE
Structure: optimized geometry

```
Li2MgI4
1.0
-2.9486 2.9486 7.2809
2.9486 -2.9486 7.2809
2.9486 2.9486 -7.2809
Li Mg I
2 1 4
direct
0.1252 0.1252 0.0000 Li
0.8748 0.8748 0.0000 Li
0.5000 0.5000 0.0000 Mg
0.0000 0.5000 0.5000 I
0.3064 0.3064 0.0000 I
0.5000 0.0000 0.5000 I
0.6936 0.6936 0.0000 I
```

* total moment: 0.000 Bohr magnetons per cell
* calculated density: 3.58 Mg/m³
* energy: -17.97 eV for the cell shown
* crystal system: tetragonal


Compound: LiMg3I
Source: Alexandria
Functional: PBE
Structure: optimized geometry

```
LiMg3I
1.0
5.3121 0.0000 0.0000
0.0000 5.3121 0.0000
0.0000 0.0000 5.3121
Li Mg I
1 3 1
direct
0.0000 0.0000 0.0000 Li
0.0000 0.0000 0.5000 Mg
0.0000 0.5000 0.0000 Mg
0.5000 0.0000 0.0000 Mg
0.5000 0.5000 0.5000 I
```

* total moment: 0.000 Bohr magnetons per cell
* calculated density: 2.29 Mg/m³
* energy: -7.40 eV for the cell shown
* crystal system: cubic


Compound: Li2Mg2I7
Source: Alexandria
Functional: PBE
Structure: optimized geometry

```
Li2Mg2I7
1.0
5.8276 -5.8459 0.0000
5.8276 5.8459 0.0000
-3.5833 0.0000 6.8908
Li Mg I
2 2 7
direct
0.1820 0.8180 0.0000 Li
0.8180 0.1820 0.0000 Li
0.2905 0.2905 0.5789 Mg
0.7095 0.7095 0.4211 Mg
0.0396 0.0396 0.2699 I
0.0863 0.4756 0.7704 I
0.4756 0.0863 0.7704 I
0.5000 0.5000 0.5000 I
0.5244 0.9137 0.2296 I
0.9137 0.5244 0.2296 I
0.9604 0.9604 0.7301 I
```

* total moment: 0.170 Bohr magnetons per cell
* calculated density: 3.36 Mg/m³
* energy: -27.34 eV for the cell shown
* crystal system: monoclinic


Compound: LiMgI
Source: Alexandria
Functional: PBE
Structure: optimized geometry

```
LiMgI
1.0
13.0444 0.0000 0.0000
0.0000 2.0833 3.5504
0.0000 -2.0833 3.5504
Li Mg I
2 2 2
direct
0.1539 0.0000 0.0000 Li
0.8461 0.0000 0.0000 Li
0.0000 0.3386 0.3386 Mg
0.5000 0.3163 0.3163 Mg
0.2499 0.3359 0.3359 I
0.7501 0.3359 0.3359 I
```

* total moment: 0.000 Bohr magnetons per cell
* calculated density: 2.72 Mg/m³
* energy: -12.52 eV for the cell shown
* crystal system: orthorhombic


Compound: Li2Mg3I8
Source: Alexandria
Functional: PBE
Structure: optimized geometry

```
Li2Mg3I8
1.0
7.0928 -4.2165 0.0000
7.0928 4.2165 0.0000
-0.6862 0.0000 7.4346
Li Mg I
2 3 8
direct
0.2206 0.2206 0.0690 Li
0.7794 0.7794 0.9310 Li
0.2482 0.7518 0.5000 Mg
0.5000 0.5000 0.0000 Mg
0.7518 0.2482 0.5000 Mg
0.1168 0.1168 0.3717 I
0.1367 0.6151 0.1490 I
0.3849 0.8633 0.8510 I
0.3868 0.3868 0.6522 I
0.6132 0.6132 0.3478 I
0.6151 0.1367 0.1490 I
0.8633 0.3849 0.8510 I
0.8832 0.8832 0.6283 I
```

* total moment: 0.000 Bohr magnetons per cell
* calculated density: 4.12 Mg/m³
* energy: -34.76 eV for the cell shown
* crystal system: monoclinic


Compound: Li2MgI4
Source: Alexandria
Functional: PBE
Structure: optimized geometry

```
Li2MgI4
1.0
6.5305 0.0000 0.0000
0.0000 6.5305 0.0000
0.0000 0.0000 6.2135
Li Mg I
2 1 4
direct
0.0000 0.5000 0.0000 Li
0.5000 0.0000 0.0000 Li
0.0000 0.0000 0.5000 Mg
0.2501 0.2501 0.7453 I
0.2501 0.7499 0.2547 I
0.7499 0.2501 0.2547 I
0.7499 0.7499 0.7453 I
```

* total moment: 0.000 Bohr magnetons per cell
* calculated density: 3.42 Mg/m³
* energy: -19.47 eV for the cell shown
* crystal system: tetragonal


Compound: Li2MgI4
Source: Alexandria
Functional: PBE
Structure: optimized geometry

```
Li2MgI4
1.0
-3.2884 3.2884 6.2343
3.2884 -3.2884 6.2343
3.2884 3.2884 -6.2343
Li Mg I
2 1 4
direct
0.2500 0.7500 0.5000 Li
0.7500 0.2500 0.5000 Li
0.0000 0.0000 0.0000 Mg
0.1210 0.1210 0.4909 I
0.3699 0.8790 0.0000 I
0.6301 0.6301 0.5091 I
0.8790 0.3699 0.0000 I
```

* total moment: 0.000 Bohr magnetons per cell
* calculated density: 3.36 Mg/m³
* energy: -19.49 eV for the cell shown
* crystal system: tetragonal